# 1
# K2SmAlO4, optimized geometry, DFT GGA-PBE
data_K2SmAlO4
_chemical_formula_sum 'K4 Sm2 Al2 O8'
_cell_length_a 5.841
_cell_length_b 5.841
_cell_length_c 8.634
_cell_angle_alpha 90.00
_cell_angle_beta 90.00
_cell_angle_gamma 90.00
_symmetry_space_group_name_H-M 'I -4'
_symmetry_Int_Tables_number 82
loop_
_symmetry_equiv_pos_as_xyz
'x,y,z'
'y,-x,-z'
'-x,-y,z'
'-y,x,-z'
'x+1/2,y+1/2,z+1/2'
'y+1/2,-x+1/2,-z+1/2'
'-x+1/2,-y+1/2,z+1/2'
'-y+1/2,x+1/2,-z+1/2'
loop_
_atom_site_label
_atom_site_fract_x
_atom_site_fract_y
_atom_site_fract_z
K1 0.000 0.000 0.000
K2 0.000 0.500 0.250
Sm1 0.000 0.000 0.500
Al1 0.000 0.500 0.750
O1 0.143 0.716 0.637
# - electronic total energy (eV/atom) = -6.3378
# - density of states at the Fermi level (states/eV per atom) = 0.00
# - ΔE_f (raw) (meV/atom) = -2527

# 2
# CdIBr, optimized geometry, DFT GGA-PBE
data_CdIBr
_chemical_formula_sum 'Cd2 I2 Br2'
_cell_length_a 7.233
_cell_length_b 4.209
_cell_length_c 7.295
_cell_angle_alpha 90.00
_cell_angle_beta 93.21
_cell_angle_gamma 90.00
_symmetry_space_group_name_H-M 'P 1 21/m 1'
_symmetry_Int_Tables_number 11
loop_
_symmetry_equiv_pos_as_xyz
'x,y,z'
'-x,-y,-z'
'-x,y+1/2,-z'
'x,-y+1/2,z'
loop_
_atom_site_label
_atom_site_fract_x
_atom_site_fract_y
_atom_site_fract_z
Cd1 0.247 0.250 0.000
I1 0.405 0.750 0.757
Br1 0.095 0.750 0.209
# - electronic total energy (eV/atom) = -2.0923
# - density of states at the Fermi level (states/eV per atom) = 0.00
# - ΔE_f (raw) (meV/atom) = -713

# 3
# LiAsS3, optimized geometry, DFT GGA-PBE
data_LiAsS3
_chemical_formula_sum 'Li4 As4 S12'
_cell_length_a 7.370
_cell_length_b 6.450
_cell_length_c 11.163
_cell_angle_alpha 90.00
_cell_angle_beta 115.49
_cell_angle_gamma 90.00
_symmetry_space_group_name_H-M 'P 1 21/c 1'
_symmetry_Int_Tables_number 14
loop_
_symmetry_equiv_pos_as_xyz
'x,y,z'
'-x,-y,-z'
'-x,y+1/2,-z+1/2'
'x,-y+1/2,z+1/2'
loop_
_atom_site_label
_atom_site_fract_x
_atom_site_fract_y
_atom_site_fract_z
Li1 0.159 0.125 0.207
As1 0.414 0.731 0.929
S1 0.047 0.203 0.860
S2 0.282 0.082 0.022
S3 0.471 0.596 0.127
# - electronic total energy (eV/atom) = -4.1729
# - ΔE_f (raw) (meV/atom) = -384
# - offset from the most stable computed form (eV/atom) = 0.000

# 4
# La3YTm2Te6, optimized geometry, DFT GGA-PBE
data_La3YTm2Te6
_chemical_formula_sum 'La6 Y2 Tm4 Te12'
_cell_length_a 19.554
_cell_length_b 4.393
_cell_length_c 9.026
_cell_angle_alpha 90.00
_cell_angle_beta 105.23
_cell_angle_gamma 90.00
_symmetry_space_group_name_H-M 'C 1 2/m 1'
_symmetry_Int_Tables_number 12
loop_
_symmetry_equiv_pos_as_xyz
'x,y,z'
'-x,-y,-z'
'-x,y,-z'
'x,-y,z'
'x+1/2,y+1/2,z'
'-x+1/2,-y+1/2,-z'
'-x+1/2,y+1/2,-z'
'x+1/2,-y+1/2,z'
loop_
_atom_site_label
_atom_site_fract_x
_atom_site_fract_y
_atom_site_fract_z
La1 0.000 0.000 0.000
La2 0.165 0.500 0.333
Y1 0.000 0.000 0.500
Tm1 0.166 0.500 0.832
Te1 0.005 0.500 0.742
Te2 0.164 0.000 0.597
Te3 0.172 0.000 0.071
# - electronic total energy (eV/atom) = -5.5022
# - density of states at the Fermi level (states/eV per atom) = 0.57
# - ΔE_f (raw) (meV/atom) = -1416

# 5
# ReIr3Rh4, optimized geometry, DFT GGA-PBE
data_ReIr3Rh4
_chemical_formula_sum 'Re2 Ir6 Rh8'
_cell_length_a 4.678
_cell_length_b 5.365
_cell_length_c 10.178
_cell_angle_alpha 90.00
_cell_angle_beta 90.00
_cell_angle_gamma 90.00
_symmetry_space_group_name_H-M 'I m m m'
_symmetry_Int_Tables_number 71
_symmetry_space_group_name_Hall '-I 2 2'
loop_
_atom_site_label
_atom_site_fract_x
_atom_site_fract_y
_atom_site_fract_z
Re1 0.000 0.000 0.000
Ir1 0.000 0.252 0.500
Ir2 0.000 0.500 0.000
Rh1 0.000 0.249 0.216
# - electronic total energy (eV/atom) = -8.0830
# - density of states at the Fermi level (states/eV per atom) = 1.24
# - energy relative to the elements (eV per atom) = 0.47

# 6
# Sr5Sb3, optimized geometry, DFT GGA-PBE
data_Sr5Sb3
_chemical_formula_sum 'Sr10 Sb6'
_cell_length_a 8.785
_cell_length_b 13.020
_cell_length_c 5.244
_cell_angle_alpha 90.00
_cell_angle_beta 90.00
_cell_angle_gamma 90.00
_symmetry_space_group_name_H-M 'C m m m'
_symmetry_Int_Tables_number 65
_symmetry_space_group_name_Hall '-C 2 2'
loop_
_atom_site_label
_atom_site_fract_x
_atom_site_fract_y
_atom_site_fract_z
Sr1 0.000 0.000 0.000
Sr2 0.212 0.500 0.500
Sr3 0.250 0.250 0.000
Sb1 0.000 0.177 0.500
Sb2 0.000 0.500 0.000
# - electronic total energy (eV/atom) = -3.4670
# - density of states at the Fermi level (states/eV per atom) = 0.42
# - ΔE_f (raw) (meV/atom) = -870
# - offset from the most stable computed form (eV/atom) = 0.134